Here is crystalline Zn4Ni2Au at its relaxed geometry from Alexandria. Energies are from PBE.

Values from the calculation:
For the total energy, the calculation gives -2.91 eV/atom. The calculation puts the energy above the most stable polymorph in this dataset at 0.448 eV per formula unit. The value obtained for the volume is 14.528 Å³ per atom. Its space group is No. 122.

abc: 6.417 6.417 6.417
angles: 109.73 108.95 109.73
Atoms (fractional coordinates):
Zn (0.151, 0.929, 0.396)
Zn (0.604, 0.755, 0.533)
Zn (0.972, 0.571, 0.717)
Zn (0.283, 0.255, 0.854)
Zn (0.599, 0.745, 0.028)
Zn (0.778, 0.245, 0.849)
Zn (0.467, 0.071, 0.222)
Zn (0.146, 0.429, 0.401)
Ni (0.875, 0.115, 0.490)
Ni (0.510, 0.385, 0.625)
Ni (0.375, 0.885, 0.760)
Ni (0.240, 0.615, 0.125)
Au (0.000, 0.000, 0.000)
Au (0.750, 0.500, 0.250)



Here is crystalline Zn2NiAu at its relaxed geometry from Alexandria. Energies are from PBE.

Values from the calculation:
For the total energy, the calculation gives -3.02 eV/atom. The value obtained for the volume is 14.410 Å³ per atom. Its space group is No. 99.

abc: 3.187 3.187 5.675
angles: 90.00 90.00 89.99
Atoms (fractional coordinates):
Au (0.000, 0.000, 0.501)
Ni (0.500, 0.500, 0.782)
Zn (0.000, 0.000, 0.977)
Zn (0.500, 0.500, 0.240)



Here is crystalline Zn4Ni15Au at its relaxed geometry from Alexandria. Energies are from PBE.

Values from the calculation:
For the total energy, the calculation gives -4.82 eV/atom. The value obtained for the volume is 11.696 Å³ per atom. Its space group is No. 123.

abc: 3.615 3.615 17.905
angles: 90.00 90.00 90.00
Site moments in Bohr magnetons follow the coordinates.
Atoms (fractional coordinates):
Zn (0.000, 0.000, 0.205)  -0.02
Zn (0.000, 0.000, 0.402)  -0.02
Zn (0.000, 0.000, 0.598)  -0.02
Zn (0.000, 0.000, 0.795)  -0.02
Ni (0.500, 0.500, 0.000)  0.49
Ni (0.500, 0.500, 0.204)  0.46
Ni (0.500, 0.500, 0.401)  0.42
Ni (0.500, 0.500, 0.599)  0.42
Ni (0.500, 0.500, 0.796)  0.46
Ni (0.500, 0.000, 0.106)  0.44
Ni (0.500, 0.000, 0.303)  0.42
Ni (0.500, 0.000, 0.500)  0.43
Ni (0.500, 0.000, 0.697)  0.42
Ni (0.500, 0.000, 0.894)  0.44
Ni (0.000, 0.500, 0.106)  0.44
Ni (0.000, 0.500, 0.303)  0.42
Ni (0.000, 0.500, 0.500)  0.43
Ni (0.000, 0.500, 0.697)  0.42
Ni (0.000, 0.500, 0.894)  0.44
Au (0.000, 0.000, 0.000)  0.03



Here is crystalline Zn2NiAu4 at its relaxed geometry from Alexandria. Energies are from PBE.

Values from the calculation:
For the total energy, the calculation gives -3.19 eV/atom. The calculation puts the energy above the most stable polymorph in this dataset at 0.000 eV per formula unit. The value obtained for the volume is 17.154 Å³ per atom. Its space group is No. 139.

abc: 5.502 5.502 5.502
angles: 92.38 118.63 118.63
Atoms (fractional coordinates):
Zn (0.500, 0.500, 0.000)
Zn (0.500, 0.000, 0.500)
Ni (0.000, 0.000, 0.000)
Au (0.500, 0.000, 0.000)
Au (0.500, 0.500, 0.500)
Au (0.000, 0.000, 0.500)
Au (0.000, 0.500, 0.000)



Here is crystalline Zn6NiAu at its relaxed geometry from Alexandria. Energies are from PBE.

Values from the calculation:
For the total energy, the calculation gives -2.22 eV/atom. The calculation puts the energy above the most stable polymorph in this dataset at 0.000 eV per formula unit. The value obtained for the volume is 14.381 Å³ per atom. Its space group is No. 123.

abc: 3.914 3.914 7.512
angles: 90.00 90.00 90.00
Atoms (fractional coordinates):
Zn (0.500, 0.500, 0.000)
Zn (0.500, 0.500, 0.500)
Zn (0.500, 0.000, 0.268)
Zn (0.500, 0.000, 0.732)
Zn (0.000, 0.500, 0.268)
Zn (0.000, 0.500, 0.732)
Ni (0.000, 0.000, 0.500)
Au (0.000, 0.000, 0.000)



Here is crystalline ZnNiAu at its relaxed geometry from Alexandria. Energies are from PBE.

Values from the calculation:
For the total energy, the calculation gives -3.59 eV/atom. The calculation puts the energy above the most stable polymorph in this dataset at 0.000 eV per formula unit. The value obtained for the volume is 14.464 Å³ per atom. Its space group is No. 11.

abc: 3.809 3.908 6.219
angles: 90.00 110.33 90.00
Atoms (fractional coordinates):
Au (0.933, 0.250, 0.821)
Au (0.067, 0.750, 0.179)
Ni (0.249, 0.250, 0.497)
Ni (0.751, 0.750, 0.503)
Zn (0.591, 0.250, 0.213)
Zn (0.409, 0.750, 0.787)



Here is crystalline Zn3NiAu2 at its relaxed geometry from Alexandria. Energies are from PBE.

Values from the calculation:
For the total energy, the calculation gives -2.90 eV/atom. The value obtained for the volume is 14.923 Å³ per atom. Its space group is No. 123.

abc: 3.052 3.052 9.615
angles: 90.00 90.00 90.00
Atoms (fractional coordinates):
Zn (0.000, 0.000, 0.000)
Zn (0.000, 0.000, 0.639)
Zn (0.000, 0.000, 0.361)
Ni (0.500, 0.500, 0.500)
Au (0.500, 0.500, 0.817)
Au (0.500, 0.500, 0.183)



Here is crystalline Zn6NiAu at its relaxed geometry from Alexandria. Energies are from PBE.

Values from the calculation:
For the total energy, the calculation gives -2.18 eV/atom. The calculation puts the energy above the most stable polymorph in this dataset at 0.298 eV per formula unit. The value obtained for the volume is 14.750 Å³ per atom. Its space group is No. 12.

abc: 4.422 6.386 6.463
angles: 44.13 69.99 69.74
Atoms (fractional coordinates):
Zn (0.880, 0.645, 0.595)
Zn (0.630, 0.941, 0.800)
Zn (0.738, 0.338, 0.187)
Zn (0.370, 0.059, 0.200)
Zn (0.120, 0.355, 0.405)
Zn (0.262, 0.662, 0.813)
Ni (0.500, 0.500, 0.500)
Au (0.000, 0.000, 0.000)



Here is crystalline ZnNi2Au at its relaxed geometry from Alexandria. Energies are from PBE.

Values from the calculation:
For the total energy, the calculation gives -4.01 eV/atom. The value obtained for the volume is 13.566 Å³ per atom. Its space group is No. 166.

abc: 8.544 8.544 8.544
angles: 18.40 18.40 18.40
Atoms (fractional coordinates):
Au (0.750, 0.750, 0.750)
Ni (0.994, 0.994, 0.994)
Ni (0.506, 0.506, 0.506)
Zn (0.250, 0.250, 0.250)



Here is crystalline Zn2NiAu6 at its relaxed geometry from Alexandria. Energies are from PBE.

Values from the calculation:
For the total energy, the calculation gives -3.15 eV/atom. The calculation puts the energy above the most stable polymorph in this dataset at 0.470 eV per formula unit. The value obtained for the volume is 17.214 Å³ per atom. Its space group is No. 71.

abc: 4.738 7.479 6.222
angles: 126.94 112.37 90.00
Atoms (fractional coordinates):
Zn (0.684, 0.684, 0.368)
Zn (0.316, 0.316, 0.632)
Ni (0.000, 0.000, 0.000)
Au (0.163, 0.473, 0.326)
Au (0.837, 0.146, 0.674)
Au (0.837, 0.527, 0.674)
Au (0.500, 0.190, 0.000)
Au (0.163, 0.854, 0.326)
Au (0.500, 0.810, 0.000)



Here is crystalline Zn3Ni2Au4 at its relaxed geometry from Alexandria. Energies are from PBE.

Values from the calculation:
For the total energy, the calculation gives -3.27 eV/atom. The value obtained for the volume is 15.339 Å³ per atom. Its space group is No. 15.

abc: 4.664 7.943 7.943
angles: 71.94 82.47 82.47
Atoms (fractional coordinates):
Zn (0.072, 0.964, 0.687)
Zn (0.428, 0.313, 0.036)
Zn (0.928, 0.036, 0.313)
Zn (0.572, 0.687, 0.964)
Zn (0.250, 0.391, 0.609)
Zn (0.750, 0.609, 0.391)
Ni (0.183, 0.726, 0.473)
Ni (0.317, 0.527, 0.274)
Ni (0.817, 0.274, 0.527)
Ni (0.683, 0.473, 0.726)
Au (0.529, 0.070, 0.807)
Au (0.971, 0.193, 0.930)
Au (0.471, 0.930, 0.193)
Au (0.029, 0.807, 0.070)
Au (0.627, 0.823, 0.599)
Au (0.873, 0.401, 0.177)
Au (0.373, 0.177, 0.401)
Au (0.127, 0.599, 0.823)



Here is crystalline ZnNiAu at its relaxed geometry from Alexandria. Energies are from PBE.

Values from the calculation:
For the total energy, the calculation gives -3.55 eV/atom. The calculation puts the energy above the most stable polymorph in this dataset at 0.113 eV per formula unit. The value obtained for the volume is 14.321 Å³ per atom. Its space group is No. 8.

abc: 5.438 3.897 8.513
angles: 90.00 107.71 90.00
Atoms (fractional coordinates):
Zn (0.936, 0.000, 0.570)
Zn (0.936, 0.500, 0.070)
Zn (0.129, 0.000, 0.896)
Zn (0.129, 0.500, 0.396)
Ni (0.273, 0.000, 0.231)
Ni (0.273, 0.500, 0.731)
Ni (0.611, 0.000, 0.902)
Ni (0.611, 0.500, 0.402)
Au (0.427, 0.000, 0.562)
Au (0.427, 0.500, 0.062)
Au (0.784, 0.000, 0.244)
Au (0.784, 0.500, 0.744)



Here is crystalline Zn6NiAu3 at its relaxed geometry from Alexandria. Energies are from PBE.

Values from the calculation:
For the total energy, the calculation gives -2.50 eV/atom. The value obtained for the volume is 15.236 Å³ per atom. Its space group is No. 11.

abc: 4.445 7.429 10.006
angles: 112.76 90.00 90.00
Atoms (fractional coordinates):
Zn (0.250, 0.465, 0.073)
Zn (0.750, 0.535, 0.927)
Zn (0.250, 0.164, 0.165)
Zn (0.750, 0.836, 0.835)
Zn (0.250, 0.687, 0.673)
Zn (0.750, 0.313, 0.327)
Zn (0.250, 0.236, 0.474)
Zn (0.750, 0.764, 0.526)
Zn (0.250, 0.873, 0.299)
Zn (0.750, 0.127, 0.701)
Zn (0.250, 0.056, 0.851)
Zn (0.750, 0.944, 0.149)
Ni (0.250, 0.964, 0.572)
Ni (0.750, 0.036, 0.428)
Au (0.250, 0.545, 0.382)
Au (0.750, 0.455, 0.618)
Au (0.250, 0.358, 0.771)
Au (0.750, 0.642, 0.229)
Au (0.250, 0.777, 0.982)
Au (0.750, 0.223, 0.018)



Here is crystalline Zn2Ni4Au at its relaxed geometry from Alexandria. Energies are from PBE.

Values from the calculation:
For the total energy, the calculation gives -4.08 eV/atom. The value obtained for the volume is 13.666 Å³ per atom. Its space group is No. 139.

abc: 3.329 3.329 8.947
angles: 100.72 100.72 90.00
Site moments in Bohr magnetons follow the coordinates.
Atoms (fractional coordinates):
Zn (0.606, 0.606, 0.211)  -0.01
Zn (0.394, 0.394, 0.789)  -0.01
Ni (0.149, 0.149, 0.297)  0.10
Ni (0.851, 0.851, 0.703)  0.10
Ni (0.750, 0.250, 0.500)  0.21
Ni (0.250, 0.750, 0.500)  0.21
Au (0.000, 0.000, 0.000)  -0.01



Here is crystalline ZnNi3Au at its relaxed geometry from Alexandria. Energies are from PBE.

Values from the calculation:
For the total energy, the calculation gives -3.52 eV/atom. The calculation puts the energy above the most stable polymorph in this dataset at 0.000 eV per formula unit. The value obtained for the volume is 15.993 Å³ per atom. Its space group is No. 221.

abc: 4.308 4.308 4.308
angles: 90.00 90.00 90.00
Atoms (fractional coordinates):
Ni (0.000, 0.500, 0.000)
Ni (0.000, 0.000, 0.500)
Ni (0.500, 0.000, 0.000)
Zn (0.000, 0.000, 0.000)
Au (0.500, 0.500, 0.500)



Here is crystalline Zn4Ni2Au at its relaxed geometry from Alexandria. Energies are from PBE.

Values from the calculation:
For the total energy, the calculation gives -2.97 eV/atom. The calculation puts the energy above the most stable polymorph in this dataset at 0.000 eV per formula unit. The value obtained for the volume is 14.960 Å³ per atom. Its space group is No. 139.

abc: 5.153 5.153 5.153
angles: 114.44 107.05 107.05
Atoms (fractional coordinates):
Zn (0.500, 0.000, 0.000)
Zn (0.500, 0.500, 0.500)
Zn (0.000, 0.000, 0.500)
Zn (0.000, 0.500, 0.000)
Ni (0.500, 0.500, 0.000)
Ni (0.500, 0.000, 0.500)
Au (0.000, 0.000, 0.000)



Here is crystalline Zn2NiAu4 at its relaxed geometry from Alexandria. Energies are from PBE.

Values from the calculation:
For the total energy, the calculation gives -3.08 eV/atom. The calculation puts the energy above the most stable polymorph in this dataset at 0.815 eV per formula unit. The value obtained for the volume is 16.947 Å³ per atom. Its space group is No. 122.

abc: 6.755 6.755 6.755
angles: 109.68 109.06 109.68
Atoms (fractional coordinates):
Zn (0.875, 0.128, 0.503)
Zn (0.497, 0.372, 0.625)
Zn (0.375, 0.872, 0.747)
Zn (0.253, 0.628, 0.125)
Ni (0.000, 0.000, 0.000)
Ni (0.750, 0.500, 0.250)
Au (0.121, 0.908, 0.370)
Au (0.630, 0.751, 0.539)
Au (0.962, 0.592, 0.711)
Au (0.289, 0.251, 0.880)
Au (0.629, 0.749, 0.038)
Au (0.788, 0.249, 0.879)
Au (0.461, 0.092, 0.212)
Au (0.120, 0.408, 0.371)



Here is crystalline ZnNi2Au at its relaxed geometry from Alexandria. Energies are from PBE.

Values from the calculation:
For the total energy, the calculation gives -4.09 eV/atom. The value obtained for the volume is 13.400 Å³ per atom. Its space group is No. 25.

abc: 2.736 3.548 5.521
angles: 90.00 90.00 90.00
Site moments in Bohr magnetons follow the coordinates.
Atoms (fractional coordinates):
Ni (0.000, 0.000, 0.027)  0.16
Ni (0.500, 0.500, 0.245)  0.08
Zn (0.000, 0.000, 0.471)  0.00
Au (0.500, 0.500, 0.757)  0.00



Here is crystalline ZnNi2Au at its relaxed geometry from Alexandria. Energies are from PBE.

Values from the calculation:
For the total energy, the calculation gives -4.11 eV/atom. The value obtained for the volume is 13.336 Å³ per atom. Its space group is No. 119.

abc: 4.563 4.563 4.566
angles: 130.77 130.72 72.20
Atoms (fractional coordinates):
Ni (0.000, 0.000, 0.000)
Ni (0.750, 0.250, 0.500)
Zn (0.500, 0.500, 0.000)
Au (0.250, 0.750, 0.500)



Here is crystalline Zn2NiAu at its relaxed geometry from Alexandria. Energies are from PBE.

Values from the calculation:
For the total energy, the calculation gives -3.06 eV/atom. The value obtained for the volume is 14.295 Å³ per atom. Its space group is No. 119.

abc: 4.848 4.848 4.848
angles: 134.47 134.41 66.40
Atoms (fractional coordinates):
Ni (0.250, 0.750, 0.500)
Zn (0.000, 0.000, 0.000)
Zn (0.750, 0.250, 0.500)
Au (0.500, 0.500, 0.000)



Here is crystalline Zn2NiAu at its relaxed geometry from Alexandria. Energies are from PBE.

Values from the calculation:
For the total energy, the calculation gives -3.11 eV/atom. The value obtained for the volume is 14.195 Å³ per atom. Its space group is No. 47.

abc: 2.873 3.410 5.796
angles: 90.00 90.00 90.00
Atoms (fractional coordinates):
Ni (0.500, 0.500, 0.750)
Zn (0.000, 0.000, 0.971)
Zn (0.000, 0.000, 0.529)
Au (0.500, 0.500, 0.250)



Here is crystalline Zn4NiAu2 at its relaxed geometry from Alexandria. Energies are from PBE.

Values from the calculation:
For the total energy, the calculation gives -2.65 eV/atom. The value obtained for the volume is 15.996 Å³ per atom. Its space group is No. 139.

abc: 4.286 4.286 6.808
angles: 108.35 108.35 90.00
Atoms (fractional coordinates):
Zn (0.394, 0.894, 0.788)
Zn (0.894, 0.394, 0.788)
Zn (0.606, 0.106, 0.212)
Zn (0.106, 0.606, 0.212)
Ni (0.000, 0.000, 0.000)
Au (0.759, 0.759, 0.518)
Au (0.241, 0.241, 0.482)



Here is crystalline Zn6NiAu5 at its relaxed geometry from Alexandria. Energies are from PBE.

Values from the calculation:
For the total energy, the calculation gives -2.68 eV/atom. The value obtained for the volume is 15.636 Å³ per atom. Its space group is No. 12.

abc: 4.402 6.430 7.619
angles: 65.04 75.25 90.00
Atoms (fractional coordinates):
Ni (0.000, 0.000, 0.000)
Zn (0.837, 0.604, 0.315)
Zn (0.837, 0.081, 0.314)
Zn (0.500, 0.772, 0.000)
Zn (0.500, 0.228, 0.000)
Zn (0.163, 0.919, 0.686)
Zn (0.163, 0.396, 0.685)
Au (0.680, 0.172, 0.656)
Au (0.330, 0.333, 0.335)
Au (0.000, 0.500, 0.000)
Au (0.670, 0.667, 0.665)
Au (0.320, 0.828, 0.344)



Here is crystalline Zn2NiAu at its relaxed geometry from Alexandria. Energies are from PBE.

Values from the calculation:
For the total energy, the calculation gives -3.09 eV/atom. The value obtained for the volume is 14.420 Å³ per atom. Its space group is No. 11.

abc: 2.752 4.228 10.011
angles: 90.00 98.03 90.00
Atoms (fractional coordinates):
Zn (0.847, 0.750, 0.701)
Zn (0.153, 0.250, 0.299)
Zn (0.066, 0.750, 0.130)
Zn (0.934, 0.250, 0.870)
Ni (0.543, 0.250, 0.084)
Ni (0.457, 0.750, 0.916)
Au (0.290, 0.250, 0.590)
Au (0.710, 0.750, 0.410)